(1)
VASP calculation (PBE-GGA) on an optimized crystal structure of CaAlHg2.

Geometry as POSCAR:
```
CaAlHg2
1.0
4.003 -2.307 0.000
4.003 2.307 0.000
-2.654 0.000 5.353
Ca Al Hg
1 1 2
Direct
0.000 0.000 0.000 Ca
0.500 0.500 0.500 Al
0.226 0.226 0.677 Hg
0.774 0.774 0.323 Hg
```

Results
Symmetry: C2/m, No. 12
Formation energy: -0.28 eV/atom
Crystal system: monoclinic

---

(2)
VASP calculation (PBE-GGA) on an optimized crystal structure of Hg2PdF2.

Geometry as POSCAR:
```
Hg2PdF2
1.0
7.259 0.000 0.000
0.000 7.259 0.000
0.000 0.000 3.029
Hg Pd F
4 2 4
Direct
0.176 0.324 0.000 Hg
0.324 0.824 0.000 Hg
0.676 0.176 0.000 Hg
0.824 0.676 0.000 Hg
0.000 0.000 0.500 Pd
0.500 0.500 0.500 Pd
0.124 0.624 0.500 F
0.376 0.124 0.500 F
0.624 0.876 0.500 F
0.876 0.376 0.500 F
```

Results
Symmetry: P4/mbm, No. 127
Crystal system: tetragonal
Total DFT energy (no corrections): -24.96 eV/cell

---

(3)
VASP calculation (PBE-GGA) on an optimized crystal structure of BaMgIn2.

Geometry as POSCAR:
```
BaMgIn2
1.0
-2.737 2.737 10.021
2.737 -2.737 10.021
2.737 2.737 -10.021
Ba Mg In
2 2 4
Direct
0.000 0.000 0.000 Ba
0.750 0.250 0.500 Ba
0.250 0.750 0.500 Mg
0.500 0.500 0.000 Mg
0.277 0.625 0.152 In
0.375 0.527 0.652 In
0.473 0.125 0.848 In
0.875 0.723 0.348 In
```

Results
Symmetry: I-42d, No. 122
Formation energy: -0.10 eV/atom
Crystal system: tetragonal

---

(4)
VASP calculation (PBE-GGA) on an optimized crystal structure of Ca2SnSb4.

Geometry as POSCAR:
```
Ca2SnSb4
1.0
4.371 0.000 0.000
0.000 4.371 0.000
0.000 0.000 11.248
Ca Sn Sb
2 1 4
Direct
0.000 0.500 0.226 Ca
0.500 0.000 0.774 Ca
0.000 0.000 0.500 Sn
0.000 0.000 0.000 Sb
0.000 0.500 0.672 Sb
0.500 0.000 0.328 Sb
0.500 0.500 0.000 Sb
```

Results
Symmetry: P-4m2, No. 115
Crystal system: tetragonal
Total DFT energy (no corrections): -27.78 eV/cell

---

(5)
VASP calculation (PBE-GGA) on an optimized crystal structure of CeDyPu2P4.

Geometry as POSCAR:
```
CeDyPu2P4
1.0
6.939 0.000 0.000
0.000 4.035 0.000
-2.342 0.000 6.578
Ce Dy Pu P
1 1 2 4
Direct
0.000 0.000 0.000 Ce
0.000 0.500 0.500 Dy
0.500 0.000 0.500 Pu
0.500 0.500 0.000 Pu
0.256 0.000 0.750 P
0.256 0.500 0.254 P
0.744 0.000 0.250 P
0.744 0.500 0.746 P
```

Results
Symmetry: P2/m, No. 10
Formation energy: -1.36 eV/atom
Crystal system: monoclinic

---

(6)
VASP calculation (PBE-GGA) on an optimized crystal structure of ZrSc2Ru.

Geometry as POSCAR:
```
ZrSc2Ru
1.0
3.228 0.000 0.000
0.000 3.228 0.000
0.000 0.000 7.714
Zr Sc Ru
1 2 1
Direct
0.000 0.000 0.000 Zr
0.500 0.500 0.299 Sc
0.500 0.500 0.701 Sc
0.000 0.000 0.500 Ru
```

Results
Symmetry: P4/mmm, No. 123
Formation energy: -0.31 eV/atom
Crystal system: tetragonal

---

(7)
VASP calculation (PBE-GGA) on an optimized crystal structure of CeY5Ho2.

Geometry as POSCAR:
```
CeY5Ho2
1.0
7.123 0.000 0.000
0.000 14.254 0.000
0.000 0.000 5.024
Ce Y Ho
2 10 4
Direct
0.000 0.000 0.000 Ce
0.500 0.500 0.000 Ce
0.000 0.500 0.000 Y
0.001 0.250 0.000 Y
0.247 0.124 0.500 Y
0.253 0.624 0.500 Y
0.499 0.750 0.000 Y
0.500 0.000 0.000 Y
0.501 0.250 0.000 Y
0.747 0.376 0.500 Y
0.753 0.876 0.500 Y
0.999 0.750 0.000 Y
0.245 0.876 0.500 Ho
0.255 0.376 0.500 Ho
0.745 0.624 0.500 Ho
0.755 0.124 0.500 Ho
```

Results
Symmetry: Pbam, No. 55
Formation energy: 0.05 eV/atom
Crystal system: orthorhombic

---

(8)
VASP calculation (PBE-GGA) on an optimized crystal structure of AgPW2.

Geometry as POSCAR:
```
AgPW2
1.0
3.155 0.000 0.000
0.000 4.464 0.000
0.000 0.000 4.515
Ag P W
1 1 2
Direct
0.000 0.000 0.000 Ag
0.500 0.000 0.500 P
0.000 0.500 0.500 W
0.500 0.500 0.000 W
```

Results
Symmetry: Pmmm, No. 47
Formation energy: 0.73 eV/atom
Crystal system: orthorhombic